(1)
VASP calculation (PBE) on a geometry-optimized LiCuSe2Cl structure.

## Properties
Uncorrected formation energy (kJ/mol of atoms): -15
Final energy (eV per atom): -3.116

Lattice parameters (Å, degrees): 4.6547 4.6547 5.5442 90.00 90.00 90.00
Element x y z (fractional)
Li 0.5000 0.5000 0.5000
Cu 0.0000 0.0000 0.0000
Se 0.0000 0.5000 0.0000
Se 0.5000 0.0000 0.0000
Cl 0.0000 0.0000 0.5000

(2)
VASP calculation (PBE) on a geometry-optimized RbSi2C2 structure.

## Properties
Uncorrected formation energy (kJ/mol of atoms): 69
Final energy (eV per atom): -5.332
ΔE to the lowest computed polymorph (meV per atom): 0

Lattice parameters (Å, degrees): 3.8795 3.8795 6.4962 72.63 72.63 90.00
Element x y z (fractional)
Si 0.2774 0.2774 0.4453
Si 0.7226 0.7226 0.5547
C 0.7500 0.2500 0.5000
C 0.2500 0.7500 0.5000
Rb 0.0000 0.0000 0.0000

(3)
VASP calculation (PBE) on a geometry-optimized MnNiMo2 structure.

## Properties
Energy of formation from the pure elements (meV per atom): 261
Final energy (eV per atom): -8.892
ΔE to the lowest computed polymorph (meV per atom): 198

Lattice parameters (Å, degrees): 8.8426 8.8426 8.8426 17.45 17.45 17.45
Element x y z (fractional)
Mn 0.7500 0.7500 0.7500
Mo 0.0015 0.0015 0.0015
Mo 0.4985 0.4985 0.4985
Ni 0.2500 0.2500 0.2500

(4)
VASP calculation (PBE) on a geometry-optimized AlTc2Se structure.

## Properties
Uncorrected formation energy (kJ/mol of atoms): -6
Final energy (eV per atom): -7.055
ΔE to the lowest computed polymorph (meV per atom): 18

Lattice parameters (Å, degrees): 3.0531 3.0531 6.2336 90.00 90.00 90.00
Element x y z (fractional)
Tc 0.0000 0.0000 0.9952
Tc 0.0000 0.0000 0.5048
Se 0.5000 0.5000 0.7500
Al 0.5000 0.5000 0.2500

(5)
VASP calculation (PBE) on a geometry-optimized TbGaPd2 structure.

## Properties
Energy of formation from the pure elements (meV per atom): -692
Final energy (eV per atom): -5.203

Lattice parameters (Å, degrees): 3.7244 4.4657 4.4657 90.00 90.00 90.00
Element x y z (fractional)
Tb 0.5000 0.5000 0.5000
Ga 0.5000 0.0000 0.0000
Pd 0.0000 0.0000 0.5000
Pd 0.0000 0.5000 0.0000

(6)
VASP calculation (PBE) on a geometry-optimized AcLa6Ho3 structure.

## Properties
Energy of formation from the pure elements (meV per atom): 219
Final energy (eV per atom): -4.522

Lattice parameters (Å, degrees): 10.1397 10.1397 7.1904 45.16 45.16 60.00
Element x y z (fractional)
Ac 0.9005 0.9005 0.2986
La 0.9003 0.5604 0.3007
La 0.2386 0.9003 0.3007
La 0.5604 0.2386 0.3007
La 0.0725 0.4004 0.8006
La 0.7265 0.0725 0.8006
La 0.4004 0.7265 0.8006
Ho 0.4004 0.4004 0.7989
Ho 0.6406 0.6406 0.0781
Ho 0.1598 0.1598 0.5205

(7)
VASP calculation (PBE) on a geometry-optimized Zn2PH2CO7 structure.

## Properties
Final energy (eV per atom): -6.048

Lattice parameters (Å, degrees): 4.8791 8.1096 14.3921 97.60 90.00 90.00
Element x y z (fractional)
Zn 0.0146 0.3181 0.8651
Zn 0.5146 0.1819 0.6349
Zn 0.9854 0.6819 0.1349
Zn 0.4854 0.8181 0.3651
Zn 0.9915 0.6014 0.6913
Zn 0.4915 0.8986 0.8087
Zn 0.0085 0.3986 0.3087
Zn 0.5085 0.1014 0.1913
P 0.5442 0.4942 0.7962
P 0.0442 0.0058 0.7038
P 0.4558 0.5058 0.2038
P 0.9558 0.9942 0.2962
H 0.9936 0.2550 0.0314
H 0.4936 0.2450 0.4686
H 0.0064 0.7450 0.9686
H 0.5064 0.7550 0.5314
H 0.2322 0.3963 0.0348
H 0.2678 0.8963 0.5348
H 0.7322 0.1037 0.4652
H 0.7678 0.6037 0.9652
C 0.1182 0.4408 0.5080
C 0.6182 0.0592 0.9920
C 0.8818 0.5592 0.4920
C 0.3818 0.9408 0.0080
O 0.3548 0.7993 0.4949
O 0.7742 0.5025 0.2004
O 0.7258 0.0025 0.7004
O 0.2258 0.4975 0.7996
O 0.8347 0.8751 0.2129
O 0.3347 0.6249 0.2871
O 0.1653 0.1249 0.7871
O 0.2742 0.9975 0.2996
O 0.8401 0.1688 0.2805
O 0.3401 0.3312 0.2195
O 0.1599 0.8312 0.7195
O 0.6599 0.6688 0.7805
O 0.8380 0.9426 0.3886
O 0.3380 0.5574 0.1114
O 0.1620 0.0574 0.6114
O 0.6620 0.4426 0.8886
O 0.7191 0.1450 0.0641
O 0.2191 0.3550 0.4359
O 0.2809 0.8550 0.9359
O 0.7809 0.6450 0.5641
O 0.6972 0.0619 0.9083
O 0.1972 0.4381 0.5917
O 0.3028 0.9381 0.0917
O 0.8028 0.5619 0.4083
O 0.6452 0.2007 0.5051
O 0.1452 0.2993 0.9949
O 0.6653 0.3751 0.7129
O 0.8548 0.7007 0.0051

(8)
VASP calculation (PBE) on a geometry-optimized Y2TmIn2Ag2 structure.

## Properties
Energy of formation from the pure elements (meV per atom): -279
Final energy (eV per atom): -4.362

Lattice parameters (Å, degrees): 4.8108 4.8108 9.4024 75.18 75.18 60.00
Element x y z (fractional)
Y 0.1256 0.1256 0.6233
Y 0.8744 0.8744 0.3767
Tm 0.0000 0.0000 0.0000
In 0.7392 0.7392 0.7824
In 0.2608 0.2608 0.2176
Ag 0.6073 0.6073 0.1782
Ag 0.3927 0.3927 0.8218

(9)
VASP calculation (PBE) on a geometry-optimized Y3Al4Pd2 structure.

## Properties
Energy of formation from the pure elements (meV per atom): -717
Final energy (eV per atom): -5.689

Lattice parameters (Å, degrees): 4.4779 5.8126 8.5734 112.02 90.00 112.66
Element x y z (fractional)
Y 0.6810 0.3620 0.6434
Y 0.0000 0.0000 0.0000
Y 0.3190 0.6380 0.3566
Al 0.7355 0.4709 0.0777
Al 0.2645 0.5291 0.9223
Al 0.9806 0.9613 0.6428
Al 0.0194 0.0387 0.3572
Pd 0.5919 0.1838 0.2628
Pd 0.4081 0.8162 0.7372

(10)
VASP calculation (PBE) on a geometry-optimized Dy2TlTc structure.

## Properties
Energy of formation from the pure elements (meV per atom): 163
Final energy (eV per atom): -5.321

Lattice parameters (Å, degrees): 3.4951 3.4951 10.6695 80.57 80.57 60.00
Element x y z (fractional)
Tl 0.0000 0.0000 0.0000
Tc 0.5000 0.5000 0.5000
Dy 0.1043 0.1043 0.6872
Dy 0.8957 0.8957 0.3128

(11)
VASP calculation (PBE) on a geometry-optimized K4NaHg structure.

## Properties
Energy of formation from the pure elements (meV per atom): -74
Final energy (eV per atom): -1.075
ΔE to the lowest computed polymorph (meV per atom): 0

Lattice parameters (Å, degrees): 8.9263 8.9263 10.2082 115.93 115.93 90.00
Element x y z (fractional)
K 0.4664 0.9664 0.2771
K 0.9664 0.8107 0.2771
K 0.3107 0.4664 0.2771
K 0.6893 0.5336 0.7229
K 0.0336 0.1893 0.7229
K 0.5336 0.0336 0.7229
K 0.1893 0.6893 0.7229
K 0.8107 0.3107 0.2771
Na 0.5000 0.5000 0.0000
Na 0.0000 0.0000 0.0000
Hg 0.2500 0.2500 0.5000
Hg 0.7500 0.7500 0.5000

(12)
VASP calculation (PBE) on a geometry-optimized Mg2SiP structure.

## Properties
Uncorrected formation energy (kJ/mol of atoms): -4
Final energy (eV per atom): -3.546
ΔE to the lowest computed polymorph (meV per atom): 0

Lattice parameters (Å, degrees): 4.4399 4.4399 5.1276 74.54 74.54 49.01
Element x y z (fractional)
Mg 0.0067 0.0067 0.9932
Mg 0.4933 0.4933 0.5068
P 0.7500 0.7500 0.7500
Si 0.2500 0.2500 0.2500

(13)
VASP calculation (PBE) on a geometry-optimized TlAg4Se2 structure.

## Properties
Uncorrected formation energy (kJ/mol of atoms): -5
Final energy (eV per atom): -3.014

Lattice parameters (Å, degrees): 4.6250 4.6250 9.0897 75.26 75.26 60.00
Element x y z (fractional)
Tl 0.0000 0.0000 0.0000
Ag 0.4406 0.4406 0.6783
Ag 0.1487 0.1487 0.5539
Ag 0.5594 0.5594 0.3217
Ag 0.8513 0.8513 0.4461
Se 0.2565 0.2565 0.2306
Se 0.7435 0.7435 0.7694

(14)
VASP calculation (PBE) on a geometry-optimized Cu3Mo structure.

## Properties
Energy of formation from the pure elements (meV per atom): 302
Final energy (eV per atom): -5.478

Lattice parameters (Å, degrees): 6.1385 6.1385 6.1385 136.86 136.86 62.66
Element x y z (fractional)
Cu 0.5000 0.0000 0.5000
Cu 0.1244 0.1244 0.0000
Cu 0.8756 0.8756 0.0000
Cu 0.7500 0.2500 0.5000
Cu 0.2500 0.7500 0.5000
Cu 0.0000 0.5000 0.5000
Mo 0.3844 0.3844 0.0000
Mo 0.6156 0.6156 0.0000

(15)
VASP calculation (PBE) on a geometry-optimized La2TiAu structure.

## Properties
Energy of formation from the pure elements (meV per atom): -82
Final energy (eV per atom): -5.338
ΔE to the lowest computed polymorph (meV per atom): 0

Lattice parameters (Å, degrees): 5.3480 5.3480 5.3480 60.00 60.00 60.00
Element x y z (fractional)
Ti 0.0000 0.0000 0.0000
Au 0.5000 0.5000 0.5000
La 0.2500 0.2500 0.2500
La 0.7500 0.7500 0.7500

(16)
VASP calculation (PBE) on a geometry-optimized KPb4Au2 structure.

## Properties
Energy of formation from the pure elements (meV per atom): -139
Final energy (eV per atom): -3.351
ΔE to the lowest computed polymorph (meV per atom): 0

Lattice parameters (Å, degrees): 4.6948 9.4751 9.4751 90.00 90.00 90.00
Element x y z (fractional)
Pb 0.0000 0.0769 0.3287
Pb 0.0000 0.9231 0.6713
Pb 0.5000 0.1713 0.5769
Pb 0.5000 0.8287 0.4231
Pb 0.5000 0.4231 0.8287
Pb 0.5000 0.5769 0.1713
Pb 0.0000 0.3287 0.0769
Pb 0.0000 0.6713 0.9231
K 0.5000 0.0000 0.0000
K 0.0000 0.5000 0.5000
Au 0.0000 0.2183 0.7817
Au 0.0000 0.7817 0.2183
Au 0.5000 0.7183 0.7183
Au 0.5000 0.2817 0.2817